[1]
This record from OQMD via LeMat-Bulk describes a relaxed structure of Tm5Ag4Au. The functional is PBE-GGA.

Results
* energy relative to the elements: -0.462 eV per atom
* total energy: -41.6 eV for the cell shown

Cell and atoms, written as POSCAR:
```
Tm5Ag4Au
1.0
3.568 0.000 0.000
0.000 3.568 0.000
0.000 0.000 17.886
Ag Tm Au
4 5 1
direct
0.000 0.000 0.600
0.000 0.000 0.800
0.000 0.000 0.400
0.000 0.000 0.200
0.500 0.500 0.500
0.500 0.500 0.299
0.500 0.500 0.097
0.500 0.500 0.701
0.500 0.500 0.903
0.000 0.000 0.000
```


[2]
This record from OQMD via LeMat-Bulk describes a relaxed structure of TmAgAu. The functional is PBE-GGA.

Results
* energy relative to the elements: -0.645 eV per atom
* energy above the most stable polymorph in this dataset: 0.000 eV per atom
* total energy: -12.5 eV for the cell shown

Cell and atoms, written as POSCAR:
```
TmAgAu
1.0
-1.049 2.946 4.187
-3.726 3.657 -0.247
0.615 -5.054 -1.181
Tm Au Ag
1 1 1
direct
0.995 0.995 0.000
0.336 0.336 0.000
0.669 0.669 0.000
```


[3]
This record from OQMD via LeMat-Bulk describes a relaxed structure of TmAgAu. The functional is PBE-GGA.

Results
* energy relative to the elements: -0.633 eV per atom
* energy above the most stable polymorph in this dataset: 0.012 eV per atom
* total energy: -24.9 eV for the cell shown

Cell and atoms, written as POSCAR:
```
TmAgAu
1.0
3.689 0.000 0.000
0.000 3.689 0.000
0.000 0.000 9.074
Tm Au Ag
2 2 2
direct
0.000 0.000 0.500
0.500 0.500 0.000
0.500 0.500 0.334
0.500 0.500 0.666
0.000 0.000 0.833
0.000 0.000 0.167
```